Below is a relaxed structure of RbNa2Bi, with properties calculated at the GGA-PBE level.

The space group is Immm (No. 71) and the conventional cell measures 14.048, 14.340 and 20.236 Å, with angles of 90.00, 90.00 and 90.00 degrees. The distinct sites, in fractional coordinates, are Rb at (0.000, 0.000, 0.000), Na at (0.216, 0.500, 0.500) and Bi at (0.000, 0.500, 0.500).

Its volume is 4077 Å³/cell. Its density is 277 kg/m³. Its energy relative to the elements is 0.705 eV/atom. Its final energy is -1.167 eV/atom.